Record 1
Here is a relaxed structure of AcNd2Cd4 from Alexandria. Energies are from PBE.

Lattice parameters (Å, degrees): 5.4218 5.4218 8.7420 108.07 108.07 90.00
Element x y z (fractional)
Ac1 0.0000 0.0000 0.0000
Nd1 0.7452 0.7452 0.4903
Nd2 0.2548 0.2548 0.5097
Cd1 0.3717 0.8717 0.7435
Cd2 0.8717 0.3717 0.7435
Cd3 0.6283 0.1283 0.2565
Cd4 0.1283 0.6283 0.2565

Output
Total magnetic moment in μB per cell: 0.44
ΔH_f (0 K) in eV/f.u.: -0.94

Record 2
Here is a relaxed structure of AcNd14Cd from Alexandria. Energies are from PBE.

Lattice parameters (Å, degrees): 7.3011 7.3011 10.3986 90.00 90.00 90.00
Element x y z (fractional)
Ac1 0.3751 0.6249 0.0000
Nd1 0.3748 0.6252 0.5000
Nd2 0.8751 0.1249 0.5000
Nd3 0.8752 0.6253 0.0000
Nd4 0.8749 0.6249 0.5000
Nd5 0.3747 0.1248 0.0000
Nd6 0.3751 0.1251 0.5000
Nd7 0.6297 0.8796 0.7519
Nd8 0.6297 0.8796 0.2481
Nd9 0.1204 0.3703 0.7519
Nd10 0.1204 0.3703 0.2481
Nd11 0.1204 0.8796 0.7519
Nd12 0.1204 0.8796 0.2481
Nd13 0.6297 0.3703 0.7519
Nd14 0.6297 0.3703 0.2481
Cd1 0.8748 0.1252 0.0000

Output
Total magnetic moment in μB per cell: 0.00
ΔH_f (0 K) in eV/f.u.: -0.15

Record 3
Here is a relaxed structure of AcNd2Cd2Pb2 from Alexandria. Energies are from PBE.

Lattice parameters (Å, degrees): 5.2106 5.2106 9.8023 74.59 74.59 60.00
Element x y z (fractional)
Ac1 0.0000 0.0000 0.0000
Nd1 0.1341 0.1341 0.5977
Nd2 0.8659 0.8659 0.4023
Cd1 0.5687 0.5687 0.2940
Cd2 0.4313 0.4313 0.7060
Pb1 0.7345 0.7345 0.7965
Pb2 0.2655 0.2655 0.2035

Output
Total magnetic moment in μB per cell: 0.00
ΔH_f (0 K) in eV/f.u.: -1.79

Question: The highest ΔH_f (0 K) belongs to which entry?
Answer: AcNd14Cd